Entry 1:
First-principles (PBE) data for an optimized crystal structure of La6MgIn5, as listed in Alexandria via LeMat-Bulk.

Structure (POSCAR):
```
La6MgIn5
1.0
5.3092 -0.0318 1.7693
0.0426 7.9091 0.0142
-0.0041 -0.0159 8.8625
Mg In La
1 5 6
Direct
0.0000 0.0000 0.0000 Mg
0.6665 0.5000 0.6669 In
0.3396 0.0000 0.3209 In
0.0000 0.5000 0.0000 In
0.6604 0.0000 0.6792 In
0.3335 0.5000 0.3331 In
0.8317 0.7513 0.3367 La
0.8317 0.2487 0.3367 La
0.5000 0.2535 0.0000 La
0.5000 0.7465 0.0000 La
0.1683 0.7513 0.6633 La
0.1683 0.2487 0.6633 La
```

Raw total energy in eV per cell: -50.36
Density in Mg/m³: 6.388
Space-group type: Cmmm (65)
Energy of formation from the pure elements in kJ/mol of formula units: -531

Entry 2:
First-principles (PBE) data for an optimized crystal structure of Pr6Y4Mg, as listed in Alexandria via LeMat-Bulk.

Structure (POSCAR):
```
Pr6Y4Mg
1.0
-7.9860 -2.6056 -4.9365
9.0974 -3.0772 1.6437
3.7446 -0.5652 8.9773
Pr Y Mg
6 4 1
Direct
0.0000 0.7973 0.4574 Pr
0.0000 0.4574 0.7973 Pr
0.3399 0.5426 0.5426 Pr
0.5000 0.5000 0.0000 Pr
0.6601 0.2027 0.2027 Pr
0.5000 0.0000 0.5000 Pr
0.0000 0.6437 0.0069 Y
0.3632 0.3563 0.3563 Y
0.0000 0.0069 0.6437 Y
0.6368 0.9931 0.9931 Y
0.0000 0.0000 0.0000 Mg
```

Raw total energy in eV per cell: -53.39
Density in Mg/m³: 5.376
Space-group type: I-42m (121)
Energy of formation from the pure elements in kJ/mol of formula units: 264

Entry 3:
First-principles (PBE) data for an optimized crystal structure of KY2Zn, as listed in Alexandria via LeMat-Bulk.

Structure (POSCAR):
```
KY2Zn
1.0
-11.3311 -2.7325 0.7937
-11.0055 -2.6345 -2.9032
-10.1297 -5.7262 -1.0440
K Y Zn
1 2 1
Direct
0.7500 0.7500 0.7500 K
0.9770 0.9770 0.9770 Y
0.5230 0.5230 0.5230 Y
0.2500 0.2500 0.2500 Zn
```

Raw total energy in eV per cell: -14.77
Density in Mg/m³: 3.420
Space-group type: R-3m (166)
Energy of formation from the pure elements in kJ/mol of formula units: 51

Entry 4:
First-principles (PBE) data for an optimized crystal structure of Hf2USe6, as listed in Alexandria via LeMat-Bulk.

Structure (POSCAR):
```
Hf2USe6
1.0
-2.9617 -1.2419 2.1532
-1.7341 -5.7911 -5.7253
7.2209 -2.8766 4.8014
Hf U Se
2 1 6
Direct
0.8296 0.6569 0.6592 Hf
0.1704 0.3431 0.3408 Hf
0.5000 0.0000 0.0000 U
0.3337 0.8869 0.6674 Se
0.0118 0.2515 0.0236 Se
0.6726 0.5713 0.3451 Se
0.9882 0.7485 0.9764 Se
0.6663 0.1131 0.3326 Se
0.3274 0.4287 0.6549 Se
```

Raw total energy in eV per cell: -63.44
Density in Mg/m³: 6.503
Polymorph energy (0 for the lowest one) in kJ/mol of atoms: 0.0
Space-group type: C2/m (12)
Energy relative to the elements, uncorrected in eV per atom: -1.26

Entry 5:
First-principles (PBE) data for an optimized crystal structure of Sr5In2Hg2, as listed in Alexandria via LeMat-Bulk.

Structure (POSCAR):
```
Sr5In2Hg2
1.0
8.0957 0.0000 2.9387
0.0000 8.8200 0.0000
1.0261 0.0000 9.7938
Sr In Hg
10 4 4
Direct
0.0000 0.0000 0.0000 Sr
0.5000 0.5000 0.0000 Sr
0.4691 0.1692 0.7171 Sr
0.8138 0.8308 0.7171 Sr
0.3138 0.6692 0.7171 Sr
0.9691 0.3308 0.7171 Sr
0.5309 0.8308 0.2829 Sr
0.1862 0.1692 0.2829 Sr
0.6862 0.3308 0.2829 Sr
0.0309 0.6692 0.2829 Sr
0.1163 0.3787 0.0000 In
0.8837 0.6213 0.0000 In
0.3837 0.8787 0.0000 In
0.6163 0.1213 0.0000 In
0.2013 0.0000 0.5975 Hg
0.7013 0.5000 0.5975 Hg
0.7987 0.0000 0.4025 Hg
0.2987 0.5000 0.4025 Hg
```

Raw total energy in eV per cell: -36.17
Density in Mg/m³: 5.277
Space-group type: Cmce (64)
Energy of formation from the pure elements in kJ/mol of formula units: -347

Entry 6:
First-principles (PBE) data for an optimized crystal structure of NdSmTl, as listed in Alexandria via LeMat-Bulk.

Structure (POSCAR):
```
NdSmTl
1.0
-1.4874 -1.1432 3.3724
5.2653 -9.2810 -0.8237
7.1171 3.6493 4.3760
Nd Sm Tl
4 4 4
Direct
0.2500 0.3467 0.5503 Nd
0.7500 0.6533 0.4497 Nd
0.2500 0.1533 0.0503 Nd
0.7500 0.8467 0.9497 Nd
0.2500 0.5972 0.1141 Sm
0.7500 0.4028 0.8859 Sm
0.2500 0.9028 0.6141 Sm
0.7500 0.0972 0.3859 Sm
0.2500 0.6285 0.7536 Tl
0.7500 0.3715 0.2464 Tl
0.2500 0.8715 0.2536 Tl
0.7500 0.1285 0.7464 Tl
```

Raw total energy in eV per cell: -50.42
Density in Mg/m³: 8.802
Polymorph energy (0 for the lowest one) in kJ/mol of atoms: 1.4
Space-group type: Pnma (62)
Energy of formation from the pure elements in kJ/mol of formula units: -73